PrMgCo2H8 | PBE | relaxed

Its crystal system is trigonal. For the total energy, the calculation gives -50.2 eV/f.u.

It has space group R-3 (No. 148, hexagonal axes), with a = 4.5671 Å, b = 4.5671 Å, c = 16.5149 Å, α = 90.00°, β = 90.00° and γ = 120.00°. The asymmetric unit holds Pr at (0.0000, 0.0000, 0.0000), Mg at (0.0000, 0.0000, 0.5000), Co at (0.0000, 0.0000, 0.1950), H at (0.0000, 0.0000, 0.2944) and H at (0.0343, 0.7528, 0.8788).


AcLa6Cd2 | PBE | relaxed

Its crystal system is monoclinic. For the energy above the most stable polymorph in this dataset, the calculation gives 0 meV per atom. The calculation puts the calculated formation energy at -0.140 eV per atom.

It has space group C2/m (No. 12), with a = 13.331 Å, b = 3.979 Å, c = 12.567 Å, α = 90.00°, β = 108.39° and γ = 90.00°. The asymmetric unit holds Ac at (0.000, 0.000, 0.000), La at (0.019, 0.000, 0.337), La at (0.184, 0.500, 0.875), La at (0.185, 0.500, 0.584) and Cd at (0.154, 0.500, 0.215).


CsSc3Al | PBE | relaxed

Its crystal system is cubic. For the energy above the most stable polymorph in this dataset, the calculation gives 886 meV per atom. The calculation puts the calculated formation energy at 1.468 eV per atom.

It has space group Pm-3m (No. 221), with a = 5.217 Å, b = 5.217 Å, c = 5.217 Å, α = 90.00°, β = 90.00° and γ = 90.00°. The asymmetric unit holds Cs at (0.000, 0.000, 0.000), Sc at (0.000, 0.000, 0.500) and Al at (0.500, 0.500, 0.500).